# 1
ErTm2Th | PBE-GGA | relaxed

It has space group R3m (No. 160, hexagonal axes), with a = 3.5284 Å, b = 3.5284 Å, c = 34.3001 Å, α = 90.00°, β = 90.00° and γ = 120.00°. The inequivalent atoms are Er at (0.0000, 0.0000, 0.0000), Tm at (0.0000, 0.0000, 0.4154), Tm at (0.0000, 0.0000, 0.5841) and Th at (0.0000, 0.0000, 0.1656).

The value obtained for the energy above the most stable polymorph in this dataset is 10.4 meV/atom. Its theoretical density is 9.93 g/cm³. The calculated formation energy comes out at 35 meV/atom.

---

# 2
NaCa4Tm3S8 | PBE-GGA | relaxed

It has space group R-3m (No. 166, hexagonal axes), with a = 7.8933 Å, b = 7.8933 Å, c = 19.3919 Å, α = 90.00°, β = 90.00° and γ = 120.00°. The inequivalent atoms are Na at (0.0000, 0.0000, 0.0000), Ca at (0.0000, 0.0000, 0.5000), Ca at (0.0000, 0.5000, 0.5000), Tm at (0.0000, 0.5000, 0.0000), S at (0.0000, 0.0000, 0.2537) and S at (0.0077, 0.5038, 0.2530).

Its uncorrected formation energy is -3102 kJ/mol of formula units. Its theoretical density is 4.51 g/cm³.

---

# 3
HfReBr3 | PBE-GGA | relaxed

It has space group Pm-3m (No. 221), with a = 5.015 Å, b = 5.015 Å, c = 5.015 Å, α = 90.00°, β = 90.00° and γ = 90.00°. The inequivalent atoms are Hf at (0.000, 0.000, 0.000), Re at (0.500, 0.500, 0.500) and Br at (0.000, 0.500, 0.500).

The value obtained for the energy above the most stable polymorph in this dataset is 433.0 meV/atom. Its uncorrected formation energy is 551 kJ/mol of formula units. Its theoretical density is 7.96 g/cm³.

---

# 4
Ca2VCu2 | PBE-GGA | relaxed

It has space group P4/mbm (No. 127), with a = 8.232 Å, b = 8.232 Å, c = 3.229 Å, α = 90.00°, β = 90.00° and γ = 90.00°. The inequivalent atoms are Ca at (0.172, 0.328, 0.000), V at (0.000, 0.000, 0.000) and Cu at (0.117, 0.617, 0.500).

The value obtained for the energy above the most stable polymorph in this dataset is 278.7 meV/atom. Its theoretical density is 3.92 g/cm³. The calculated formation energy comes out at 497 meV/atom.

---

# 5
SiMoSe2 | PBE-GGA | relaxed

It has space group R-3m (No. 166, hexagonal axes), with a = 3.1919 Å, b = 3.1919 Å, c = 25.6603 Å, α = 90.00°, β = 90.00° and γ = 120.00°. The inequivalent atoms are Si at (0.0000, 0.0000, 0.0000), Mo at (0.0000, 0.0000, 0.5000) and Se at (0.0000, 0.0000, 0.2365).

Its uncorrected formation energy is 22 kJ/mol of formula units. Its theoretical density is 6.20 g/cm³.

---

# 6
Ce2TlS4 | PBE-GGA | relaxed

It has space group R-3m (No. 166, hexagonal axes), with a = 4.3797 Å, b = 4.3797 Å, c = 34.0337 Å, α = 90.00°, β = 90.00° and γ = 120.00°. The inequivalent atoms are Ce at (0.0000, 0.0000, 0.1079), Tl at (0.0000, 0.0000, 0.0000), S at (0.0000, 0.0000, 0.1952) and S at (0.0000, 0.0000, 0.3976).

The value obtained for the energy above the most stable polymorph in this dataset is 0.0 meV/atom. Its uncorrected formation energy is -1040 kJ/mol of formula units. Its theoretical density is 5.40 g/cm³.

---

# 7
MgZnCd2 | PBE-GGA | relaxed

It has space group R-3m (No. 166, hexagonal axes), with a = 3.2547 Å, b = 3.2547 Å, c = 27.4796 Å, α = 90.00°, β = 90.00° and γ = 120.00°. The inequivalent atoms are Mg at (0.0000, 0.0000, 0.0000), Zn at (0.0000, 0.0000, 0.5000) and Cd at (0.0000, 0.0000, 0.2450).

The value obtained for the energy above the most stable polymorph in this dataset is 46.2 meV/atom. Its theoretical density is 6.22 g/cm³. The calculated formation energy comes out at 25 meV/atom.

---

# 8
MgSbRh2 | PBE-GGA | relaxed

It has space group P4mm (No. 99), with a = 3.545 Å, b = 3.545 Å, c = 5.455 Å, α = 90.00°, β = 90.00° and γ = 90.00°. The inequivalent atoms are Mg at (0.000, 0.000, 0.000), Sb at (0.500, 0.500, 0.671), Rh at (0.000, 0.000, 0.490) and Rh at (0.500, 0.500, 0.171).

Its uncorrected formation energy is -131 kJ/mol of formula units. Its theoretical density is 8.53 g/cm³.

---

# 9
V2PbN | PBE-GGA | relaxed

It has space group I-42d (No. 122), with a = 6.231 Å, b = 6.231 Å, c = 6.519 Å, α = 90.00°, β = 90.00° and γ = 90.00°. The inequivalent atoms are V at (0.116, 0.250, 0.125), Pb at (0.000, 0.000, 0.500) and N at (0.000, 0.000, 0.000).

Its uncorrected formation energy is -27 kJ/mol of formula units. Its theoretical density is 8.48 g/cm³.

---

# 10
Dy3In | PBE-GGA | relaxed

It has space group I4/mmm (No. 139), with a = 4.750 Å, b = 4.750 Å, c = 10.051 Å, α = 90.00°, β = 90.00° and γ = 90.00°. The inequivalent atoms are Dy at (0.000, 0.000, 0.000), Dy at (0.000, 0.500, 0.250) and In at (0.000, 0.000, 0.500).

Its theoretical density is 8.82 g/cm³. The calculated formation energy comes out at -233 meV/atom.

---

# 11
NdHOs | PBE-GGA | relaxed

It has space group Pmmn (No. 59, origin choice 2), with a = 3.473 Å, b = 3.646 Å, c = 8.191 Å, α = 90.00°, β = 90.00° and γ = 90.00°. The inequivalent atoms are Nd at (0.250, 0.250, 0.184), H at (0.250, 0.250, 0.890) and Os at (0.250, 0.750, 0.499).

Its theoretical density is 10.74 g/cm³. The total energy is -6.47 eV/atom.

---

# 12
Bi3TeS | PBE-GGA | relaxed

It has space group Pm-3m (No. 221), with a = 5.845 Å, b = 5.845 Å, c = 5.845 Å, α = 90.00°, β = 90.00° and γ = 90.00°. The inequivalent atoms are Bi at (0.000, 0.000, 0.500), Te at (0.000, 0.000, 0.000) and S at (0.500, 0.500, 0.500).

The value obtained for the energy above the most stable polymorph in this dataset is 590.3 meV/atom. Its uncorrected formation energy is 487 kJ/mol of formula units. Its theoretical density is 6.54 g/cm³.